(1)
4
Lattice="0.000 3.177 3.177 3.177 0.000 3.177 3.177 3.177 0.000" Properties=species:S:1:pos:R:3 comment="Nb2AlP | Alexandria | GGA-PBE | optimized geometry" relative_energy_mev_per_atom=224 formation_enthalpy_0k_mev_per_atom=-126 space_group="Fm-3m (225)" pbc="T T T"
Nb 1.589 1.589 1.589
Nb 4.766 4.766 4.766
Al 0.000 0.000 0.000
P 3.177 3.177 3.177

=====

(2)
5
Lattice="4.615 0.000 0.000 0.000 4.615 0.000 0.000 0.000 4.615" Properties=species:S:1:pos:R:3 comment="Nb3AlP | Alexandria | GGA-PBE | optimized geometry" relative_energy_mev_per_atom=0 formation_enthalpy_0k_mev_per_atom=163 space_group="Pm-3m (221)" pbc="T T T"
Nb 0.000 0.000 2.307
Nb 0.000 2.307 0.000
Nb 2.307 0.000 0.000
Al 2.307 2.307 2.307
P 0.000 0.000 0.000

=====

(3)
5
Lattice="4.840 0.000 0.000 0.000 4.840 0.000 0.000 0.000 5.013" Properties=species:S:1:pos:R:3 comment="NbAlPPt2 | Alexandria | GGA-PBE | optimized geometry" formation_enthalpy_0k_mev_per_atom=1215 space_group="P4/mmm (123)" pbc="T T T"
Nb 0.000 0.000 0.000
Al 0.000 0.000 2.506
P 2.420 2.420 2.506
Pt 0.000 2.420 0.000
Pt 2.420 0.000 0.000

=====

(4)
5
Lattice="4.735 0.000 0.000 0.000 4.735 0.000 0.000 0.000 4.974" Properties=species:S:1:pos:R:3 comment="NbAlReP2 | Alexandria | GGA-PBE | optimized geometry" formation_enthalpy_0k_mev_per_atom=1395 space_group="P4/mmm (123)" pbc="T T T"
Nb 0.000 0.000 0.000
Al 0.000 0.000 2.487
Re 2.368 2.368 2.487
P 0.000 2.368 0.000
P 2.368 0.000 0.000

=====

(5)
5
Lattice="4.536 0.000 0.000 0.000 4.536 0.000 0.000 0.000 4.580" Properties=species:S:1:pos:R:3 comment="NbAlPS2 | Alexandria | GGA-PBE | optimized geometry" relative_energy_mev_per_atom=362 e_form_raw_mev_per_atom=359 space_group="P4/mmm (123)" pbc="T T T"
Nb 0.000 0.000 0.000
Al 2.268 2.268 2.290
P 2.268 2.268 0.000
S 0.000 2.268 2.290
S 2.268 0.000 2.290

=====

(6)
5
Lattice="4.784 0.000 0.000 0.000 4.784 0.000 0.000 0.000 4.965" Properties=species:S:1:pos:R:3 comment="NbAlPS2 | Alexandria | GGA-PBE | optimized geometry" relative_energy_mev_per_atom=0 e_form_raw_mev_per_atom=-3 space_group="P4/mmm (123)" pbc="T T T"
Nb 0.000 0.000 0.000
Al 2.392 2.392 2.483
P 0.000 0.000 2.483
S 0.000 2.392 0.000
S 2.392 0.000 0.000

=====

(7)
5
Lattice="4.626 0.000 0.000 0.000 4.626 0.000 0.000 0.000 4.325" Properties=species:S:1:pos:R:3 comment="Nb2AlVP | Alexandria | GGA-PBE | optimized geometry" formation_enthalpy_0k_mev_per_atom=501 space_group="P4/mmm (123)" pbc="T T T"
Nb 0.000 2.313 0.000
Nb 2.313 0.000 0.000
Al 0.000 0.000 2.162
V 2.313 2.313 2.162
P 0.000 0.000 0.000

=====

(8)
3
Lattice="4.945 0.000 0.000 -2.473 4.283 0.000 0.000 0.000 2.930" Properties=species:S:1:pos:R:3 comment="PaNbAl | Alexandria | GGA-PBE | optimized geometry" relative_energy_mev_per_atom=137 formation_enthalpy_0k_mev_per_atom=68 space_group="P3m1 (156)" pbc="T T T"
Pa 0.000 0.000 0.000
Nb 2.473 1.428 1.462
Al 0.000 2.855 1.468

=====

(9)
3
Lattice="-1.479 1.479 6.857 1.479 -1.479 6.857 1.479 1.479 -6.857" Properties=species:S:1:pos:R:3 comment="PaNbAl | Alexandria | GGA-PBE | optimized geometry" relative_energy_mev_per_atom=0 formation_enthalpy_0k_mev_per_atom=-69 space_group="I4mm (107)" pbc="T T T"
Pa 0.000 0.000 0.000
Nb 0.000 0.000 9.361
Al 0.000 0.000 4.476

=====

(10)
4
Lattice="4.284 0.000 0.000 0.000 4.284 0.000 0.000 0.000 4.659" Properties=species:S:1:pos:R:3 comment="Pa2NbAl | Alexandria | GGA-PBE | optimized geometry" relative_energy_mev_per_atom=0 formation_enthalpy_0k_mev_per_atom=-84 space_group="P4/mmm (123)" pbc="T T T"
Pa 0.000 2.142 0.000
Pa 2.142 0.000 0.000
Nb 0.000 0.000 2.330
Al 2.142 2.142 2.330

=====

(11)
4
Lattice="0.000 3.556 3.556 3.556 0.000 3.556 3.556 3.556 0.000" Properties=species:S:1:pos:R:3 comment="Pa2NbAl | Alexandria | GGA-PBE | optimized geometry" relative_energy_mev_per_atom=229 formation_enthalpy_0k_mev_per_atom=145 space_group="Fm-3m (225)" pbc="T T T"
Pa 1.778 1.778 1.778
Pa 5.334 5.334 5.334
Nb 0.000 0.000 0.000
Al 3.556 3.556 3.556

=====

(12)
6
Lattice="2.701 1.559 4.734 -2.701 1.559 4.734 0.000 -3.119 4.734" Properties=species:S:1:pos:R:3 comment="Pa2NbAl3 | Alexandria | GGA-PBE | optimized geometry" formation_enthalpy_0k_mev_per_atom=-281 space_group="R-3m (166)" pbc="T T T"
Pa 0.000 0.000 1.958
Pa 0.000 0.000 12.245
Nb 0.000 0.000 7.102
Al -1.351 -0.780 4.734
Al -1.351 0.780 9.469
Al 0.000 1.559 4.734

=====

(13)
6
Lattice="4.391 0.000 0.000 0.000 4.807 0.000 0.000 0.000 6.504" Properties=species:S:1:pos:R:3 comment="PaNbAl | Alexandria | GGA-PBE | optimized geometry" relative_energy_mev_per_atom=420 formation_enthalpy_0k_mev_per_atom=350 space_group="Pmn2_1 (31)" pbc="T T T"
Pa 0.000 1.198 0.000
Pa 2.195 3.609 3.252
Nb 0.000 3.607 1.891
Nb 2.195 1.200 5.143
Al 0.000 1.204 3.326
Al 2.195 3.602 0.073

=====

(14)
4
Lattice="3.781 0.000 0.000 0.000 3.781 0.000 0.000 0.000 6.265" Properties=species:S:1:pos:R:3 comment="Pa2NbAl | Alexandria | GGA-PBE | optimized geometry" relative_energy_mev_per_atom=162 formation_enthalpy_0k_mev_per_atom=78 space_group="P4/mmm (123)" pbc="T T T"
Pa 0.000 0.000 1.452
Pa 0.000 0.000 4.813
Nb 1.891 1.891 3.132
Al 1.891 1.891 0.000

=====

(15)
4
Lattice="0.000 3.447 3.447 3.447 0.000 3.447 3.447 3.447 0.000" Properties=species:S:1:pos:R:3 comment="PuPaNbAl | Alexandria | GGA-PBE | optimized geometry" formation_enthalpy_0k_mev_per_atom=-41 space_group="F-43m (216)" pbc="T T T"
Pu 0.000 0.000 0.000
Pa 5.171 5.171 5.171
Nb 3.447 3.447 3.447
Al 1.724 1.724 1.724

=====

(16)
4
Lattice="0.000 3.308 3.308 3.308 0.000 3.308 3.308 3.308 0.000" Properties=species:S:1:pos:R:3 comment="PaNbAlRe | Alexandria | GGA-PBE | optimized geometry" formation_enthalpy_0k_mev_per_atom=-105 space_group="F-43m (216)" pbc="T T T"
Pa 0.000 0.000 0.000
Nb 1.654 1.654 1.654
Al 3.308 3.308 3.308
Re 4.962 4.962 4.962

=====

(17)
4
Lattice="0.000 3.431 3.431 3.431 0.000 3.431 3.431 3.431 0.000" Properties=species:S:1:pos:R:3 comment="ScPaNbAl | Alexandria | GGA-PBE | optimized geometry" formation_enthalpy_0k_mev_per_atom=-28 space_group="F-43m (216)" pbc="T T T"
Sc 0.000 0.000 0.000
Pa 1.715 1.715 1.715
Nb 3.431 3.431 3.431
Al 5.146 5.146 5.146

=====

(18)
4
Lattice="0.000 3.302 3.302 3.302 0.000 3.302 3.302 3.302 0.000" Properties=species:S:1:pos:R:3 comment="PaNbAlTc | Alexandria | GGA-PBE | optimized geometry" formation_enthalpy_0k_mev_per_atom=-222 space_group="F-43m (216)" pbc="T T T"
Pa 0.000 0.000 0.000
Nb 1.651 1.651 1.651
Al 3.302 3.302 3.302
Tc 4.952 4.952 4.952

=====

(19)
4
Lattice="0.000 3.341 3.341 3.341 0.000 3.341 3.341 3.341 0.000" Properties=species:S:1:pos:R:3 comment="PaTiNbAl | Alexandria | GGA-PBE | optimized geometry" formation_enthalpy_0k_mev_per_atom=-119 space_group="F-43m (216)" pbc="T T T"
Pa 0.000 0.000 0.000
Ti 1.671 1.671 1.671
Nb 5.012 5.012 5.012
Al 3.341 3.341 3.341

=====

(20)
4
Lattice="0.000 3.558 3.558 3.558 0.000 3.558 3.558 3.558 0.000" Properties=species:S:1:pos:R:3 comment="TmPaNbAl | Alexandria | GGA-PBE | optimized geometry" formation_enthalpy_0k_mev_per_atom=79 space_group="F-43m (216)" pbc="T T T"
Tm 0.000 0.000 0.000
Pa 3.558 3.558 3.558
Nb 5.337 5.337 5.337
Al 1.779 1.779 1.779

=====

(21)
4
Lattice="0.000 3.324 3.324 3.324 0.000 3.324 3.324 3.324 0.000" Properties=species:S:1:pos:R:3 comment="PaNbAlW | Alexandria | GGA-PBE | optimized geometry" formation_enthalpy_0k_mev_per_atom=18 space_group="F-43m (216)" pbc="T T T"
Pa 0.000 0.000 0.000
Nb 4.985 4.985 4.985
Al 3.324 3.324 3.324
W 1.662 1.662 1.662

=====

(22)
5
Lattice="-2.050 2.050 7.084 2.050 -2.050 7.084 2.050 2.050 -7.084" Properties=species:S:1:pos:R:3 comment="Nb2AlPb2 | Alexandria | GGA-PBE | optimized geometry" relative_energy_mev_per_atom=390 formation_enthalpy_0k_mev_per_atom=676 space_group="I4/mmm (139)" pbc="T T T"
Nb 0.000 0.000 1.246
Nb 0.000 0.000 12.923
Al 0.000 0.000 7.084
Pb 2.050 0.000 3.542
Pb 0.000 2.050 3.542

=====

(23)
5
Lattice="4.776 0.000 0.000 0.000 4.776 0.000 0.000 0.000 4.776" Properties=species:S:1:pos:R:3 comment="Nb3AlPb | Alexandria | GGA-PBE | optimized geometry" relative_energy_mev_per_atom=0 formation_enthalpy_0k_mev_per_atom=966 space_group="Pm-3m (221)" pbc="T T T"
Nb 0.000 0.000 2.388
Nb 0.000 2.388 0.000
Nb 2.388 0.000 0.000
Al 0.000 0.000 0.000
Pb 2.388 2.388 2.388

=====

(24)
8
Lattice="-4.045 4.045 2.998 4.045 -4.045 2.998 4.045 4.045 -2.998" Properties=species:S:1:pos:R:3 comment="NbAlPb2 | Alexandria | GGA-PBE | optimized geometry" formation_enthalpy_0k_mev_per_atom=661 space_group="I-42d (122)" pbc="T T T"
Nb 0.000 0.000 0.000
Nb 0.000 4.045 1.499
Al 4.045 0.000 1.499
Al 0.000 0.000 2.998
Pb 6.067 2.006 -0.750
Pb 2.006 2.022 0.750
Pb -2.022 2.039 2.249
Pb 2.039 2.022 3.748

=====

(25)
8
Lattice="-2.019 2.019 10.265 2.019 -2.019 10.265 2.019 2.019 -10.265" Properties=species:S:1:pos:R:3 comment="Nb2AlPb | Alexandria | GGA-PBE | optimized geometry" formation_enthalpy_0k_mev_per_atom=476 space_group="I-42d (122)" pbc="T T T"
Nb 3.029 0.963 -2.566
Nb 0.963 1.010 2.566
Nb -1.010 1.057 7.698
Nb 1.057 1.010 12.831
Al 0.000 0.000 0.000
Al 0.000 2.019 5.132
Pb 2.019 0.000 5.132
Pb 0.000 0.000 10.265

=====

(26)
10
Lattice="7.187 0.000 0.000 0.000 7.187 0.000 0.000 0.000 3.593" Properties=species:S:1:pos:R:3 comment="Nb2Al2Pb | Alexandria | GGA-PBE | optimized geometry" relative_energy_mev_per_atom=80 formation_enthalpy_0k_mev_per_atom=159 space_group="P4/mbm (127)" pbc="T T T"
Nb 1.242 2.352 0.000
Nb 2.352 5.945 0.000
Nb 4.835 1.242 0.000
Nb 5.945 4.835 0.000
Al 0.885 4.478 1.797
Al 2.709 0.885 1.797
Al 4.478 6.302 1.797
Al 6.302 2.709 1.797
Pb 0.000 0.000 1.797
Pb 3.593 3.593 1.797

=====

(27)
5
Lattice="5.521 0.000 0.000 0.000 5.521 0.000 0.000 0.000 5.521" Properties=species:S:1:pos:R:3 comment="NbAlPb3 | Alexandria | GGA-PBE | optimized geometry" relative_energy_mev_per_atom=0 formation_enthalpy_0k_mev_per_atom=624 space_group="Pm-3m (221)" pbc="T T T"
Nb 0.000 0.000 0.000
Al 2.760 2.760 2.760
Pb 0.000 0.000 2.760
Pb 0.000 2.760 0.000
Pb 2.760 0.000 0.000

=====

(28)
10
Lattice="7.091 0.000 0.000 0.000 7.091 0.000 0.000 0.000 4.358" Properties=species:S:1:pos:R:3 comment="Nb2AlPb2 | Alexandria | GGA-PBE | optimized geometry" relative_energy_mev_per_atom=0 formation_enthalpy_0k_mev_per_atom=286 space_group="P4/mbm (127)" pbc="T T T"
Nb 1.007 2.539 0.000
Nb 2.539 6.084 0.000
Nb 4.552 1.007 0.000
Nb 6.084 4.552 0.000
Al 0.000 0.000 0.000
Al 3.545 3.545 0.000
Pb 1.174 4.719 2.179
Pb 2.372 1.174 2.179
Pb 4.719 5.917 2.179
Pb 5.917 2.372 2.179

=====

(29)
5
Lattice="5.350 0.000 0.000 0.000 5.350 0.000 0.000 0.000 5.350" Properties=species:S:1:pos:R:3 comment="NbAlPb3 | Alexandria | GGA-PBE | optimized geometry" relative_energy_mev_per_atom=439 formation_enthalpy_0k_mev_per_atom=1063 space_group="Pm-3m (221)" pbc="T T T"
Nb 0.000 0.000 0.000
Al 2.675 2.675 2.675
Pb 0.000 2.675 2.675
Pb 2.675 0.000 2.675
Pb 2.675 2.675 0.000

=====

Number 1: N(E_F) 1.05 states/eV per atom, total magnetization 0.0 Bohr magnetons per cell. Number 2: N(E_F) 1.49 states/eV per atom, total magnetization 0.0 Bohr magnetons per cell. Number 3: N(E_F) 0.77 states/eV per atom, total magnetization 0.0 Bohr magnetons per cell. Number 4: N(E_F) 0.69 states/eV per atom, total magnetization 4.1 Bohr magnetons per cell. Number 5: N(E_F) 0.86 states/eV per atom, total magnetization 1.8 Bohr magnetons per cell. Number 6: N(E_F) 0.61 states/eV per atom, total magnetization 0.0 Bohr magnetons per cell. Number 7: N(E_F) 1.61 states/eV per atom, total magnetization 0.0 Bohr magnetons per cell. Number 8: N(E_F) 2.07 states/eV per atom, total magnetization 0.7 Bohr magnetons per cell. Number 9: N(E_F) 1.24 states/eV per atom, total magnetization 0.0 Bohr magnetons per cell. Number 10: N(E_F) 1.54 states/eV per atom, total magnetization 0.0 Bohr magnetons per cell. Number 11: N(E_F) 1.39 states/eV per atom, total magnetization 0.0 Bohr magnetons per cell. Number 12: N(E_F) 1.09 states/eV per atom, total magnetization 0.0 Bohr magnetons per cell. Number 13: N(E_F) 0.63 states/eV per atom, total magnetization 0.0 Bohr magnetons per cell. Number 14: N(E_F) 2.15 states/eV per atom, total magnetization 0.0 Bohr magnetons per cell. Number 15: N(E_F) 1.97 states/eV per atom, total magnetization 5.0 Bohr magnetons per cell. Number 16: N(E_F) 0.78 states/eV per atom, total magnetization 0.0 Bohr magnetons per cell. Number 17: N(E_F) 1.60 states/eV per atom, total magnetization 1.2 Bohr magnetons per cell. Number 18: N(E_F) 0.83 states/eV per atom, total magnetization 0.0 Bohr magnetons per cell. Number 19: N(E_F) 1.68 states/eV per atom, total magnetization 0.0 Bohr magnetons per cell. Number 20: N(E_F) 1.87 states/eV per atom, total magnetization 0.0 Bohr magnetons per cell. Number 21: N(E_F) 0.95 states/eV per atom, total magnetization 0.0 Bohr magnetons per cell. Number 22: N(E_F) 1.36 states/eV per atom, total magnetization 0.0 Bohr magnetons per cell. Number 23: N(E_F) 1.84 states/eV per atom, total magnetization 0.0 Bohr magnetons per cell. Number 24: N(E_F) 0.58 states/eV per atom, total magnetization 0.0 Bohr magnetons per cell. Number 25: N(E_F) 1.28 states/eV per atom, total magnetization 0.0 Bohr magnetons per cell. Number 26: N(E_F) 1.44 states/eV per atom, total magnetization 0.0 Bohr magnetons per cell. Number 27: N(E_F) 0.93 states/eV per atom, total magnetization 0.0 Bohr magnetons per cell. Number 28: N(E_F) 0.72 states/eV per atom, total magnetization 0.0 Bohr magnetons per cell. Number 29: N(E_F) 0.89 states/eV per atom, total magnetization 3.4 Bohr magnetons per cell.